Material: Ce4Bi2SbI
Method: DFT, GGA-PBE
State: relaxed

Results
energy relative to the elements, uncorrected	-0.875	eV/atom
crystal system	monoclinic
E_tot	-44.17	eV per cell

Cell lengths 4.607, 7.832, 7.924 Å; angles 70.02, 90.00, 90.00 degrees
Site moments in Bohr magnetons follow the coordinates.
Atoms (fractional coordinates):
Bi  0.500  0.000  0.500  -0.04
Bi  0.000  0.000  0.000  -0.04
Ce  0.500  0.249  0.757  0.99
Ce  0.000  0.746  0.757  0.93
Ce  0.500  0.751  0.243  0.99
Ce  0.000  0.254  0.243  0.93
Sb  0.500  0.500  0.000  -0.03
I  0.000  0.500  0.500  -0.01